one) An optimized crystal structure of TmHfSc. Source: Alexandria via LeMat-Bulk, functional PBE.

a b c (Å): 3.276 3.276 7.437
angles (deg): 102.72 102.72 90.00
Element x y z (fractional)
Hf 0.671 0.671 0.341
Sc 0.322 0.322 0.644
Tm 0.007 0.007 0.015

## Properties
Space-group type: I4mm, No. 107

---

two) An optimized crystal structure of TmHfSc. Source: Alexandria via LeMat-Bulk, functional PBE.

a b c (Å): 3.245 3.206 14.958
angles (deg): 90.00 90.00 90.00
Element x y z (fractional)
Sc 0.250 0.750 0.718
Sc 0.750 0.250 0.282
Tm 0.250 0.250 0.085
Tm 0.750 0.750 0.915
Hf 0.250 0.750 0.426
Hf 0.750 0.250 0.574

## Properties
Space-group type: Pmmn, No. 59

---

three) An optimized crystal structure of TmHfSc. Source: Alexandria via LeMat-Bulk, functional PBE.

a b c (Å): 3.283 5.145 5.145
angles (deg): 120.00 90.00 90.00
Element x y z (fractional)
Tm 0.667 0.667 0.333
Hf 0.167 0.333 0.667
Sc 0.167 0.000 0.000

## Properties
Space-group type: P-6m2, No. 187

---

Most stable structure - one); separation to the second - 0.049 eV/atom.